Entry 1:
Entry from Alexandria via LeMat-Bulk: a relaxed structure of PrTlO (GGA-PBE).

Formation energy (no corrections) (eV per atom): -1.89
Crystal system: trigonal
Volume (Å³ per cell): 145

Cell lengths 3.9850, 3.9850, 10.7871 Å; angles 79.36, 79.36, 60.00 degrees
Sites, in units of the cell vectors:
Pr: 0.6187 0.6187 0.1439
Pr: 0.3813 0.3813 0.8561
Tl: 0.8674 0.8674 0.3977
Tl: 0.1326 0.1326 0.6023
O: 0.6956 0.6956 0.9131
O: 0.3044 0.3044 0.0869

Entry 2:
Entry from Alexandria via LeMat-Bulk: a relaxed structure of K8Hg3 (GGA-PBE).

Crystal system: cubic
Formation energy from the elements (eV/atom): -0.098
Volume (Å³ per cell): 606

Cell lengths 8.4623, 8.4623, 8.4623 Å; angles 89.98, 89.98, 89.98 degrees
Sites, in units of the cell vectors:
K: 0.7466 0.2532 0.7466
K: 0.7466 0.7466 0.2532
K: 0.2532 0.7466 0.7466
K: 0.7465 0.7465 0.7465
K: 0.2535 0.2535 0.2535
K: 0.7468 0.2534 0.2534
K: 0.2534 0.2534 0.7468
K: 0.2534 0.7468 0.2534
Hg: 0.0000 0.5000 0.5000
Hg: 0.5000 0.0000 0.5000
Hg: 0.5000 0.5000 0.0000

Entry 3:
Entry from Alexandria via LeMat-Bulk: a relaxed structure of BePdSe (GGA-PBE).

Formation energy (no corrections) (eV per atom): -0.29
Crystal system: triclinic
Volume (Å³ per cell): 99

Cell lengths 4.3360, 6.3167, 4.3292 Å; angles 59.42, 82.47, 95.98 degrees
Sites, in units of the cell vectors:
Be: 0.7530 0.4448 0.4689
Be: 0.2786 0.9759 0.3502
Pd: 0.7264 0.7660 0.5768
Pd: 0.1626 0.7702 0.0287
Se: 0.7420 0.0358 0.8978
Se: 0.4019 0.3874 0.1775

Entry 4:
Entry from Alexandria via LeMat-Bulk: a relaxed structure of PrY2TmSe4 (GGA-PBE).

Formation energy (no corrections) (eV per atom): -1.75
Crystal system: monoclinic
Volume (Å³ per cell): 197

Cell lengths 4.0553, 7.0768, 7.2635 Å; angles 71.28, 90.00, 90.00 degrees
Sites, in units of the cell vectors:
Pr: 0.5000 0.5000 0.0000
Y: 0.0000 0.0000 0.0000
Y: 0.5000 0.0000 0.5000
Tm: 0.0000 0.5000 0.5000
Se: 0.0000 0.7579 0.7365
Se: 0.0000 0.2421 0.2635
Se: 0.5000 0.7496 0.2607
Se: 0.5000 0.2504 0.7393

Entry 5:
Entry from Alexandria via LeMat-Bulk: a relaxed structure of KRe2Ni (GGA-PBE).

Crystal system: tetragonal
Formation energy from the elements (eV/atom): 0.877
Volume (Å³ per cell): 68

Cell lengths 2.6293, 2.6293, 9.8168 Å; angles 90.00, 90.00, 90.00 degrees
Sites, in units of the cell vectors:
K: 0.5000 0.5000 0.2500
Ni: 0.5000 0.5000 0.7500
Re: 0.0000 0.0000 0.9431
Re: 0.0000 0.0000 0.5569

Entry 6:
Entry from Alexandria via LeMat-Bulk: a relaxed structure of Ni2HgBi2 (GGA-PBE).

Crystal system: tetragonal
Formation energy from the elements (eV/atom): 0.091
Volume (Å³ per cell): 117

Cell lengths 3.5496, 3.5496, 9.6554 Å; angles 79.41, 79.41, 90.00 degrees
Sites, in units of the cell vectors:
Ni: 0.7500 0.2500 0.5000
Ni: 0.2500 0.7500 0.5000
Bi: 0.3579 0.3579 0.2841
Bi: 0.6421 0.6421 0.7159
Hg: 0.0000 0.0000 0.0000